GGA-PBE LiLaAsBr2, relaxed; raw total energy = -3.85 eV per atom; space-group type = P4/mmm (123); distance to the lowest polymorph of the same formula = 0.1130 eV/atom; volume = 200.61 Å³ per cell
1.0
5.884 0.000 0.000
0.000 5.884 0.000
0.000 0.000 5.795
Li La As Br
1 1 1 2
Cartesian
0.000 0.000 0.000 Li
2.942 2.942 2.897 La
2.942 2.942 0.000 As
0.000 2.942 2.897 Br
2.942 0.000 2.897 Br

=====

GGA-PBE LiNb2PtO, relaxed; raw total energy = -7.60 eV per atom; space-group type = P4/mmm (123); volume = 69.64 Å³ per cell
1.0
4.238 0.000 0.000
0.000 4.238 0.000
0.000 0.000 3.878
Li Nb Pt O
1 2 1 1
Cartesian
0.000 0.000 0.000 Li
0.000 2.119 1.939 Nb
2.119 0.000 1.939 Nb
2.119 2.119 0.000 Pt
0.000 0.000 1.939 O

=====

GGA-PBE KBaAu2, relaxed; raw total energy = -2.12 eV per atom; space-group type = Immm (71); energy of formation from the pure elements = 0.2751 eV per atom; distance to the lowest polymorph of the same formula = 0.8059 eV/atom; volume = 235.69 Å³ per cell
1.0
-2.290 4.195 6.134
2.290 -4.195 6.134
2.290 4.195 -6.134
K Ba Au
1 1 2
Cartesian
0.000 0.000 0.000 K
0.000 0.000 6.134 Ba
0.000 0.000 3.086 Au
0.000 0.000 9.183 Au